(1)
Density functional theory data (GGA-PBEsol) for crystalline AgTe2Se at its relaxed geometry.

```
data_AgTe2Se
_symmetry_space_group_name_H-M 'R 3 m'
_symmetry_Int_Tables_number 160
_symmetry_space_group_name_Hall 'R 3 -2"'
_cell_length_a 4.1925
_cell_length_b 4.1925
_cell_length_c 19.5348
_cell_angle_alpha 90.00
_cell_angle_beta 90.00
_cell_angle_gamma 120.00
loop_
_atom_site_label
_atom_site_type_symbol
_atom_site_fract_x
_atom_site_fract_y
_atom_site_fract_z
Ag1 Ag 0.0000 0.0000 0.0000
Te1 Te 0.0000 0.0000 0.2519
Te2 Te 0.0000 0.0000 0.4889
Se1 Se 0.0000 0.0000 0.7319
```

magnetization = 0.00 Bohr magnetons per cell
ΔE_f (raw) = 1.8 kJ per mole of atoms
density = 7.41 g cm⁻³
E = -3.5351 eV/atom
calculated volume = 24.8 Å³ per atom

---

(2)
Density functional theory data (GGA-PBEsol) for crystalline Ag2TeSe at its relaxed geometry.

```
data_Ag2TeSe
_symmetry_space_group_name_H-M 'P 1 2/m 1'
_symmetry_Int_Tables_number 10
_symmetry_space_group_name_Hall '-P 2y'
_cell_length_a 4.6895
_cell_length_b 3.8675
_cell_length_c 5.1044
_cell_angle_alpha 90.00
_cell_angle_beta 106.73
_cell_angle_gamma 90.00
loop_
_atom_site_label
_atom_site_type_symbol
_atom_site_fract_x
_atom_site_fract_y
_atom_site_fract_z
Ag1 Ag 0.2358 0.0000 0.2590
Te1 Te 0.5000 0.5000 0.0000
Se1 Se 0.0000 0.5000 0.5000
```

magnetization = 0.00 Bohr magnetons per cell
ΔE_f (raw) = 3.7 kJ per mole of atoms
density = 7.91 g cm⁻³
E = -3.4611 eV/atom
calculated volume = 22.2 Å³ per atom

---

(3)
Density functional theory data (GGA-PBEsol) for crystalline AgTe2Se at its relaxed geometry.

```
data_AgTe2Se
_symmetry_space_group_name_H-M 'I -4 m 2'
_symmetry_Int_Tables_number 119
_symmetry_space_group_name_Hall 'I -4 -2'
_cell_length_a 3.9413
_cell_length_b 3.9413
_cell_length_c 13.9078
_cell_angle_alpha 90.00
_cell_angle_beta 90.00
_cell_angle_gamma 90.00
loop_
_atom_site_label
_atom_site_type_symbol
_atom_site_fract_x
_atom_site_fract_y
_atom_site_fract_z
Ag1 Ag 0.0000 0.0000 0.0000
Te1 Te 0.0000 0.0000 0.5000
Te2 Te 0.0000 0.5000 0.7500
Se1 Se 0.0000 0.5000 0.2500
```

magnetization = 0.00 Bohr magnetons per cell
ΔE_f (raw) = 23.0 kJ per mole of atoms
density = 6.80 g cm⁻³
E = -3.3154 eV/atom
calculated volume = 27.0 Å³ per atom

---

(4)
Density functional theory data (GGA-PBEsol) for crystalline AgTe2Se at its relaxed geometry.

```
data_AgTe2Se
_symmetry_space_group_name_H-M 'I 4/m m m'
_symmetry_Int_Tables_number 139
_symmetry_space_group_name_Hall '-I 4 2'
_cell_length_a 5.7404
_cell_length_b 5.7404
_cell_length_c 6.0282
_cell_angle_alpha 90.00
_cell_angle_beta 90.00
_cell_angle_gamma 90.00
loop_
_atom_site_label
_atom_site_type_symbol
_atom_site_fract_x
_atom_site_fract_y
_atom_site_fract_z
Ag1 Ag 0.0000 0.0000 0.0000
Te1 Te 0.0000 0.5000 0.0000
Se1 Se 0.0000 0.0000 0.5000
```

magnetization = 0.00 Bohr magnetons per cell
ΔE_f (raw) = -4.0 kJ per mole of atoms
density = 7.39 g cm⁻³
E = -3.5949 eV/atom
calculated volume = 24.8 Å³ per atom

---

(5)
Density functional theory data (GGA-PBEsol) for crystalline AgTe2Se at its relaxed geometry.

```
data_AgTe2Se
_symmetry_space_group_name_H-M 'I 4 m m'
_symmetry_Int_Tables_number 107
_symmetry_space_group_name_Hall 'I 4 -2'
_cell_length_a 4.1475
_cell_length_b 4.1475
_cell_length_c 11.5373
_cell_angle_alpha 90.00
_cell_angle_beta 90.00
_cell_angle_gamma 90.00
loop_
_atom_site_label
_atom_site_type_symbol
_atom_site_fract_x
_atom_site_fract_y
_atom_site_fract_z
Ag1 Ag 0.0000 0.0000 0.0000
Te1 Te 0.0000 0.0000 0.4960
Te2 Te 0.0000 0.0000 0.7494
Se1 Se 0.0000 0.0000 0.2403
```

magnetization = 0.00 Bohr magnetons per cell
ΔE_f (raw) = -2.2 kJ per mole of atoms
density = 7.40 g cm⁻³
E = -3.5766 eV/atom
calculated volume = 24.8 Å³ per atom

---

(6)
Density functional theory data (GGA-PBEsol) for crystalline AgTe2Se at its relaxed geometry.

```
data_AgTe2Se
_symmetry_space_group_name_H-M 'C m m m'
_symmetry_Int_Tables_number 65
_symmetry_space_group_name_Hall '-C 2 2'
_cell_length_a 6.0616
_cell_length_b 8.1440
_cell_length_c 4.0556
_cell_angle_alpha 90.00
_cell_angle_beta 90.00
_cell_angle_gamma 90.00
loop_
_atom_site_label
_atom_site_type_symbol
_atom_site_fract_x
_atom_site_fract_y
_atom_site_fract_z
Ag1 Ag 0.0000 0.0000 0.0000
Te1 Te 0.0000 0.2426 0.5000
Se1 Se 0.0000 0.5000 0.0000
```

magnetization = 0.00 Bohr magnetons per cell
ΔE_f (raw) = 2.1 kJ per mole of atoms
density = 7.33 g cm⁻³
E = -3.5319 eV/atom
calculated volume = 25.0 Å³ per atom

---

(7)
Density functional theory data (GGA-PBEsol) for crystalline Ti6Tl5AgSe27 at its relaxed geometry.

```
data_Ti6Tl5AgSe27
_symmetry_space_group_name_H-M 'P 3 1 c'
_symmetry_Int_Tables_number 159
_symmetry_space_group_name_Hall 'P 3 -2c'
_cell_length_a 12.8857
_cell_length_b 12.8857
_cell_length_c 13.5935
_cell_angle_alpha 90.00
_cell_angle_beta 90.00
_cell_angle_gamma 120.00
loop_
_atom_site_label
_atom_site_type_symbol
_atom_site_fract_x
_atom_site_fract_y
_atom_site_fract_z
Ti1 Ti 0.0141 0.3407 0.0000
Ti2 Ti 0.0160 0.3505 0.7406
Tl1 Tl 0.0593 0.6857 0.8639
Tl2 Tl 0.3333 0.6667 0.0661
Tl3 Tl 0.3333 0.6667 0.6968
Ag1 Ag 0.0000 0.0000 0.1178
Se1 Se 0.0177 0.5034 0.6152
Se2 Se 0.0823 0.1936 0.7461
Se3 Se 0.1024 0.8920 0.0119
Se4 Se 0.1215 0.3205 0.3704
Se5 Se 0.1327 0.5564 0.2408
Se6 Se 0.1474 0.4892 0.8737
Se7 Se 0.1642 0.3495 0.6218
Se8 Se 0.1688 0.3698 0.1264
Se9 Se 0.1955 0.5068 0.4576
```

magnetization = 0.00 Bohr magnetons per cell
ΔE_f (raw) = -59.3 kJ per mole of atoms
density = 6.03 g cm⁻³
E = -4.9828 eV/atom
calculated volume = 25.1 Å³ per atom

---

(8)
Density functional theory data (GGA-PBEsol) for crystalline Tl2AgSe at its relaxed geometry.

```
data_Tl2AgSe
_symmetry_space_group_name_H-M 'P 4/m m m'
_symmetry_Int_Tables_number 123
_symmetry_space_group_name_Hall '-P 4 2'
_cell_length_a 3.8060
_cell_length_b 3.8060
_cell_length_c 6.4845
_cell_angle_alpha 90.00
_cell_angle_beta 90.00
_cell_angle_gamma 90.00
loop_
_atom_site_label
_atom_site_type_symbol
_atom_site_fract_x
_atom_site_fract_y
_atom_site_fract_z
Tl1 Tl 0.0000 0.0000 0.2487
Ag1 Ag 0.5000 0.5000 0.0000
Se1 Se 0.5000 0.5000 0.5000
```

magnetization = 0.00 Bohr magnetons per cell
ΔE_f (raw) = 1.6 kJ per mole of atoms
density = 10.53 g cm⁻³
E = -3.0892 eV/atom
calculated volume = 23.5 Å³ per atom

---

(9)
Density functional theory data (GGA-PBEsol) for crystalline TlAg2Se at its relaxed geometry.

```
data_TlAg2Se
_symmetry_space_group_name_H-M 'P 4 m m'
_symmetry_Int_Tables_number 99
_symmetry_space_group_name_Hall 'P 4 -2'
_cell_length_a 3.7527
_cell_length_b 3.7527
_cell_length_c 5.7702
_cell_angle_alpha 90.00
_cell_angle_beta 90.00
_cell_angle_gamma 90.00
loop_
_atom_site_label
_atom_site_type_symbol
_atom_site_fract_x
_atom_site_fract_y
_atom_site_fract_z
Tl1 Tl 0.0000 0.0000 0.0000
Ag1 Ag 0.0000 0.0000 0.4958
Ag2 Ag 0.5000 0.5000 0.2609
Se1 Se 0.5000 0.5000 0.7183
```

magnetization = 0.00 Bohr magnetons per cell
ΔE_f (raw) = 7.7 kJ per mole of atoms
density = 10.20 g cm⁻³
E = -3.1961 eV/atom
calculated volume = 20.3 Å³ per atom

---

(10)
Density functional theory data (GGA-PBEsol) for crystalline TlAg2Se at its relaxed geometry.

```
data_TlAg2Se
_symmetry_space_group_name_H-M 'P 1 2/m 1'
_symmetry_Int_Tables_number 10
_symmetry_space_group_name_Hall '-P 2y'
_cell_length_a 4.2491
_cell_length_b 4.4400
_cell_length_c 4.7451
_cell_angle_alpha 90.00
_cell_angle_beta 92.64
_cell_angle_gamma 90.00
loop_
_atom_site_label
_atom_site_type_symbol
_atom_site_fract_x
_atom_site_fract_y
_atom_site_fract_z
Tl1 Tl 0.0000 0.0000 0.0000
Ag1 Ag 0.2803 0.5000 0.7418
Se1 Se 0.5000 0.0000 0.5000
```

magnetization = 0.00 Bohr magnetons per cell
ΔE_f (raw) = 7.3 kJ per mole of atoms
density = 9.27 g cm⁻³
E = -3.2003 eV/atom
calculated volume = 22.4 Å³ per atom

---

(11)
Density functional theory data (GGA-PBEsol) for crystalline AgW3Se at its relaxed geometry.

```
data_AgW3Se
_symmetry_space_group_name_H-M 'P m -3 m'
_symmetry_Int_Tables_number 221
_symmetry_space_group_name_Hall '-P 4 2 3'
_cell_length_a 4.5506
_cell_length_b 4.5506
_cell_length_c 4.5506
_cell_angle_alpha 90.00
_cell_angle_beta 90.00
_cell_angle_gamma 90.00
loop_
_atom_site_label
_atom_site_type_symbol
_atom_site_fract_x
_atom_site_fract_y
_atom_site_fract_z
Ag1 Ag 0.0000 0.0000 0.0000
W1 W 0.0000 0.5000 0.5000
Se1 Se 0.5000 0.5000 0.5000
```

magnetization = 0.00 Bohr magnetons per cell
ΔE_f (raw) = 168.2 kJ per mole of atoms
density = 13.01 g cm⁻³
E = -7.9733 eV/atom
calculated volume = 18.8 Å³ per atom

---

(12)
Density functional theory data (GGA-PBEsol) for crystalline AgW2Se at its relaxed geometry.

```
data_AgW2Se
_symmetry_space_group_name_H-M 'P 4/m m m'
_symmetry_Int_Tables_number 123
_symmetry_space_group_name_Hall '-P 4 2'
_cell_length_a 3.8084
_cell_length_b 3.8084
_cell_length_c 4.5848
_cell_angle_alpha 90.00
_cell_angle_beta 90.00
_cell_angle_gamma 90.00
loop_
_atom_site_label
_atom_site_type_symbol
_atom_site_fract_x
_atom_site_fract_y
_atom_site_fract_z
Ag1 Ag 0.0000 0.0000 0.0000
W1 W 0.0000 0.5000 0.5000
Se1 Se 0.5000 0.5000 0.0000
```

magnetization = 0.00 Bohr magnetons per cell
ΔE_f (raw) = 92.6 kJ per mole of atoms
density = 13.85 g cm⁻³
E = -7.7341 eV/atom
calculated volume = 16.6 Å³ per atom

---

(13)
Density functional theory data (GGA-PBEsol) for crystalline AgWSe2 at its relaxed geometry.

```
data_AgWSe2
_symmetry_space_group_name_H-M 'P m m m'
_symmetry_Int_Tables_number 47
_symmetry_space_group_name_Hall '-P 2 2'
_cell_length_a 3.2335
_cell_length_b 4.0109
_cell_length_c 5.5443
_cell_angle_alpha 90.00
_cell_angle_beta 90.00
_cell_angle_gamma 90.00
loop_
_atom_site_label
_atom_site_type_symbol
_atom_site_fract_x
_atom_site_fract_y
_atom_site_fract_z
Ag1 Ag 0.0000 0.0000 0.0000
W1 W 0.5000 0.0000 0.5000
Se1 Se 0.0000 0.5000 0.5000
Se2 Se 0.5000 0.5000 0.0000
```

magnetization = 0.00 Bohr magnetons per cell
ΔE_f (raw) = 71.8 kJ per mole of atoms
density = 10.38 g cm⁻³
E = -5.4604 eV/atom
calculated volume = 18.0 Å³ per atom